Record 1
10
Lattice="4.230 0.000 0.000 -2.115 6.685 0.087 0.000 -1.514 8.944" Properties=species:S:1:pos:R:3 comment="KLiCdS2, optimized geometry, DFT GGA-PBE" raw_formation_energy_ev_per_atom=-1.04 spacegroup="C2/m (12)" pbc="T T T"
Cd 2.115 4.733 7.361
Cd 0.000 0.438 1.671
Li 0.000 2.838 8.475
Li 2.115 2.332 0.556
S 2.115 1.272 2.827
S 0.000 0.374 8.312
S 0.000 3.899 6.204
S 2.115 4.796 0.720
K 2.115 1.197 5.971
K 0.000 3.974 3.060


Record 2
9
Lattice="-3.876 -0.348 -1.671 -1.874 -4.869 -0.008 -4.513 0.658 4.964" Properties=species:S:1:pos:R:3 comment="Li4Ga2Pt3, optimized geometry, DFT GGA-PBE" e_tot_ev_per_atom=-4.163 spacegroup="C2/m (12)" pbc="T T T"
Pt 0.000 0.000 0.000
Pt -4.975 -1.036 1.021
Pt -5.288 -3.523 2.264
Ga -7.729 -4.122 2.683
Ga -2.534 -0.437 0.602
Li -6.112 -1.647 3.784
Li -3.599 -1.200 3.230
Li -6.664 -3.358 0.054
Li -4.152 -2.911 -0.499